# 1
Entry from Alexandria: an optimized crystal structure of Pu3Zr2PaAs6 (GGA-PBE).

Properties
The value obtained for the formation enthalpy at 0 K is -25.4 kcal/mol of atoms. The symmetry is C2/m (12). The final energy is -110.68 eV for the cell shown.

a b c (Å): 6.991 6.991 7.013
angles (deg): 99.61 99.61 120.03
Atoms (fractional coordinates):
Zr: 0.332 0.668 0.000
Zr: 0.668 0.332 0.000
As: 0.261 0.261 0.764
As: 0.580 0.921 0.760
As: 0.921 0.580 0.760
As: 0.739 0.739 0.236
As: 0.079 0.420 0.240
As: 0.420 0.079 0.240
Pu: 0.500 0.500 0.500
Pu: 0.836 0.164 0.500
Pu: 0.164 0.836 0.500
Pa: 0.000 0.000 0.000

***

# 2
Entry from Alexandria: an optimized crystal structure of Pu4ZrPa3As8 (GGA-PBE).

Properties
The value obtained for the formation enthalpy at 0 K is -24.8 kcal/mol of atoms. The symmetry is C2/m (12). The final energy is -148.76 eV for the cell shown.

a b c (Å): 8.186 8.165 8.195
angles (deg): 120.11 119.96 90.00
Atoms (fractional coordinates):
Pa: 0.000 0.500 0.500
Pa: 0.500 0.500 0.000
Pa: 0.500 0.500 0.500
Pu: 0.500 0.000 0.000
Pu: 0.000 0.000 0.000
Pu: 0.000 0.000 0.500
Pu: 0.500 0.000 0.500
As: 0.244 0.742 0.487
As: 0.251 0.253 0.503
As: 0.754 0.742 0.997
As: 0.756 0.258 0.513
As: 0.757 0.258 0.003
As: 0.246 0.258 0.003
As: 0.243 0.742 0.997
As: 0.749 0.747 0.497
Zr: 0.000 0.500 0.000

***

# 3
Entry from Alexandria: an optimized crystal structure of Pu2ZrPaAs4 (GGA-PBE).

Properties
The value obtained for the formation enthalpy at 0 K is -25.2 kcal/mol of atoms. The symmetry is P2/m (10). The final energy is -74.05 eV for the cell shown.

a b c (Å): 4.069 7.027 7.025
angles (deg): 109.51 90.00 90.00
Atoms (fractional coordinates):
Pa: 0.500 0.500 0.000
Pu: 0.500 0.000 0.500
Pu: 0.000 0.500 0.500
As: 0.000 0.245 0.758
As: 0.500 0.759 0.761
As: 0.000 0.755 0.242
As: 0.500 0.241 0.239
Zr: 0.000 0.000 0.000

***

# 4
Entry from Alexandria: an optimized crystal structure of RbPaAs2S8 (GGA-PBE).

Properties
For the formation energy from raw total energies, the calculation gives -0.540 eV/atom. The symmetry is P-3 (147). The final energy is -59.26 eV for the cell shown.

a b c (Å): 6.333 6.333 10.196
angles (deg): 90.00 90.00 120.00
Atoms (fractional coordinates):
S: 0.661 0.655 0.651
S: 0.333 0.667 0.932
S: 0.667 0.333 0.068
S: 0.006 0.661 0.349
S: 0.345 0.006 0.651
S: 0.994 0.339 0.651
S: 0.655 0.994 0.349
S: 0.339 0.345 0.349
Rb: 0.000 0.000 0.000
As: 0.333 0.667 0.726
As: 0.667 0.333 0.274
Pa: 0.000 0.000 0.500

***

# 5
Entry from Alexandria: an optimized crystal structure of RbPaAsS5 (GGA-PBE).

Properties
For the formation energy from raw total energies, the calculation gives -0.876 eV/atom. The symmetry is C2/c (15). The final energy is -85.52 eV for the cell shown.

a b c (Å): 7.446 7.446 9.874
angles (deg): 105.63 105.63 104.69
Atoms (fractional coordinates):
S: 0.067 0.933 0.250
S: 0.933 0.067 0.750
S: 0.380 0.235 0.076
S: 0.765 0.620 0.424
S: 0.620 0.765 0.924
S: 0.313 0.896 0.607
S: 0.104 0.687 0.893
S: 0.687 0.104 0.393
S: 0.896 0.313 0.107
S: 0.235 0.380 0.576
Pa: 0.000 0.000 0.000
Pa: 0.000 0.000 0.500
Rb: 0.660 0.340 0.750
Rb: 0.340 0.660 0.250
As: 0.308 0.692 0.750
As: 0.692 0.308 0.250

***

# 6
Entry from Alexandria: an optimized crystal structure of Rb2PaAsSe5 (GGA-PBE).

Properties
For the formation energy from raw total energies, the calculation gives -1.003 eV/atom. The symmetry is Cmc2_1 (36). The final energy is -85.05 eV for the cell shown.

a b c (Å): 4.436 10.035 14.943
angles (deg): 90.00 90.00 102.77
Atoms (fractional coordinates):
As: 0.553 0.107 0.928
As: 0.447 0.893 0.428
Rb: 0.870 0.741 0.820
Rb: 0.130 0.259 0.320
Rb: 0.893 0.785 0.159
Rb: 0.107 0.215 0.659
Pa: 0.798 0.596 0.535
Pa: 0.202 0.404 0.035
Se: 0.939 0.878 0.542
Se: 0.333 0.665 0.994
Se: 0.508 0.016 0.784
Se: 0.061 0.122 0.042
Se: 0.319 0.638 0.409
Se: 0.667 0.335 0.494
Se: 0.492 0.984 0.284
Se: 0.290 0.581 0.652
Se: 0.710 0.419 0.152
Se: 0.681 0.362 0.909

***

final energy of number 5 (RbPaAsS5)?
-85.52 eV for the cell shown